# CsAlTlGe | Alexandria via LeMat-Bulk | PBE | relaxed
# * formation energy: -0.094 eV per atom
# * D(E_F): 7.0 states/eV/cell
data_CsAlTlGe
_chemical_formula_sum 'Cs2 Al2 Tl2 Ge2'
_symmetry_space_group_name_H-M 'P 1'
_symmetry_Int_Tables_number 1
_cell_length_a 4.3123
_cell_length_b 4.3123
_cell_length_c 15.1620
_cell_angle_alpha 90.00
_cell_angle_beta 90.00
_cell_angle_gamma 90.00
loop_
_symmetry_equiv_pos_as_xyz
'x,y,z'
loop_
_atom_site_label
_atom_site_type_symbol
_atom_site_fract_x
_atom_site_fract_y
_atom_site_fract_z
_atom_site_occupancy
Ge1 Ge 0.7500 0.7500 0.8974 1
Tl1 Tl 0.7500 0.2500 0.5000 1
Al1 Al 0.7500 0.2500 0.0000 1
Cs1 Cs 0.7500 0.7500 0.2378 1
Ge2 Ge 0.2500 0.2500 0.1026 1
Cs2 Cs 0.2500 0.2500 0.7622 1
Al2 Al 0.2500 0.7500 0.0000 1
Tl2 Tl 0.2500 0.7500 0.5000 1